## Sr2Zn5Si3 (PBEsol)

Data for Sr2Zn5Si3 after structural relaxation.

Calculated values
The space group is P4mm (99). The value obtained for the density of states at the Fermi level is 2.58 states/eV/cell. The value obtained for the uncorrected energy is -32.29 eV/f.u.

Unit cell a=4.2019 b=4.2019 c=10.5139 alpha=90.00 beta=90.00 gamma=90.00
Closest atoms and distances in Å follow each position.
Fractional positions:
Sr 0.0000 0.0000 0.0000  8 Si 3.19-3.22, 8 Zn 3.33-3.37
Sr 0.5000 0.5000 0.4928  4 Si 3.20, 12 Zn 3.23-3.42
Zn 0.0000 0.0000 0.6125  1 Si 2.45, 4 Zn 2.55
Zn 0.0000 0.5000 0.2453  4 Si 2.53
Zn 0.0000 0.5000 0.7497  2 Si 2.53, 2 Zn 2.55
Zn 0.5000 0.0000 0.2453  4 Si 2.53
Zn 0.5000 0.0000 0.7497  2 Si 2.53, 2 Zn 2.55
Si 0.0000 0.0000 0.3792  5 Zn 2.45-2.53
Si 0.5000 0.5000 0.1115  1 Si 2.40, 4 Zn 2.53
Si 0.5000 0.5000 0.8829  1 Si 2.40, 4 Zn 2.53

***

## SrZr2Si (PBEsol)

Data for SrZr2Si after structural relaxation.

Calculated values
The space group is Cm (8). The value obtained for the density of states at the Fermi level is 6.83 states/eV/cell. The value obtained for the uncorrected energy is -25.53 eV/f.u.

Unit cell a=9.3191 b=3.5877 c=6.3780 alpha=90.00 beta=103.40 gamma=90.00
Closest atoms and distances in Å follow each position.
Fractional positions:
Sr 0.0000 0.0000 0.0000  2 Si 3.17, 3 Zr 3.37-3.49
Sr 0.5000 0.5000 0.0000  2 Si 3.17, 3 Zr 3.37-3.49
Zr 0.2062 0.0000 0.6307  2 Si 2.71, 3 Zr 2.82-2.96
Zr 0.4556 0.0000 0.4508  3 Si 2.73-2.88, 3 Zr 2.82-2.96
Zr 0.7062 0.5000 0.6307  2 Si 2.71, 3 Zr 2.82-2.96
Zr 0.9556 0.5000 0.4508  3 Si 2.73-2.88, 3 Zr 2.82-2.96
Si 0.2320 0.5000 0.3225  5 Zr 2.71-2.88
Si 0.7320 0.0000 0.3225  5 Zr 2.71-2.88

***

## Sr2ZrSi (PBEsol)

Data for Sr2ZrSi after structural relaxation.

Calculated values
The space group is Immm (71). The value obtained for the density of states at the Fermi level is 7.69 states/eV/cell. The value obtained for the uncorrected energy is -19.00 eV/f.u.

Unit cell a=3.6969 b=3.8980 c=18.1758 alpha=90.00 beta=90.00 gamma=90.00
Closest atoms and distances in Å follow each position.
Fractional positions:
Sr 0.0000 0.0000 0.1575  2 Si 3.41, 2 Zr 3.46, 2 Sr 3.70
Sr 0.0000 0.0000 0.8425  2 Si 3.41, 2 Zr 3.46, 2 Sr 3.70
Sr 0.5000 0.5000 0.3425  2 Si 3.41, 2 Zr 3.46, 2 Sr 3.70
Sr 0.5000 0.5000 0.6575  2 Si 3.41, 2 Zr 3.46, 2 Sr 3.70
Zr 0.0000 0.5000 0.0000  4 Si 2.69
Zr 0.5000 0.0000 0.5000  4 Si 2.69
Si 0.0000 0.5000 0.5000  4 Zr 2.69
Si 0.5000 0.0000 0.0000  4 Zr 2.69

***

## SrZrSi (PBEsol)

Data for SrZrSi after structural relaxation.

Calculated values
The space group is F-43m (216). The value obtained for the density of states at the Fermi level is 13.26 states/eV/cell. The value obtained for the uncorrected energy is -14.85 eV/f.u.

Unit cell a=6.7659 b=6.7659 c=6.7659 alpha=90.00 beta=90.00 gamma=90.00
Closest atoms and distances in Å follow each position.
Fractional positions:
Sr 0.0000 0.0000 0.0000  4 Zr 2.93
Sr 0.0000 0.5000 0.5000  4 Zr 2.93
Sr 0.5000 0.0000 0.5000  4 Zr 2.93
Sr 0.5000 0.5000 0.0000  4 Zr 2.93
Zr 0.2500 0.2500 0.7500  4 Sr 2.93, 4 Si 2.93
Zr 0.2500 0.7500 0.2500  4 Sr 2.93, 4 Si 2.93
Zr 0.7500 0.2500 0.2500  4 Sr 2.93, 4 Si 2.93
Zr 0.7500 0.7500 0.7500  4 Sr 2.93, 4 Si 2.93
Si 0.0000 0.0000 0.5000  4 Zr 2.93
Si 0.0000 0.5000 0.0000  4 Zr 2.93
Si 0.5000 0.0000 0.0000  4 Zr 2.93
Si 0.5000 0.5000 0.5000  4 Zr 2.93

***

## SrZrSi (PBEsol)

Data for SrZrSi after structural relaxation.

Calculated values
The space group is F-43m (216). The value obtained for the density of states at the Fermi level is 22.07 states/eV/cell. The value obtained for the uncorrected energy is -13.14 eV/f.u.

Unit cell a=6.9239 b=6.9239 c=6.9239 alpha=90.00 beta=90.00 gamma=90.00
Closest atoms and distances in Å follow each position.
Fractional positions:
Sr 0.0000 0.0000 0.0000  4 Zr 3.00, 4 Si 3.00
Sr 0.0000 0.5000 0.5000  4 Zr 3.00, 4 Si 3.00
Sr 0.5000 0.0000 0.5000  4 Zr 3.00, 4 Si 3.00
Sr 0.5000 0.5000 0.0000  4 Zr 3.00, 4 Si 3.00
Zr 0.2500 0.2500 0.7500  4 Sr 3.00
Zr 0.2500 0.7500 0.2500  4 Sr 3.00
Zr 0.7500 0.2500 0.2500  4 Sr 3.00
Zr 0.7500 0.7500 0.7500  4 Sr 3.00
Si 0.2500 0.2500 0.2500  4 Sr 3.00
Si 0.2500 0.7500 0.7500  4 Sr 3.00
Si 0.7500 0.2500 0.7500  4 Sr 3.00
Si 0.7500 0.7500 0.2500  4 Sr 3.00

***

## SrZr2Si (PBEsol)

Data for SrZr2Si after structural relaxation.

Calculated values
The space group is I4/mmm (139). The value obtained for the density of states at the Fermi level is 5.92 states/eV/cell. The value obtained for the uncorrected energy is -25.19 eV/f.u.

Unit cell a=4.4383 b=4.4383 c=8.7416 alpha=90.00 beta=90.00 gamma=90.00
Closest atoms and distances in Å follow each position.
Fractional positions:
Sr 0.0000 0.0000 0.0000  8 Zr 3.11, 4 Si 3.14
Sr 0.5000 0.5000 0.5000  8 Zr 3.11, 4 Si 3.14
Zr 0.0000 0.5000 0.2500  4 Sr 3.11, 4 Si 3.11, 4 Zr 3.14
Zr 0.0000 0.5000 0.7500  4 Sr 3.11, 4 Si 3.11, 4 Zr 3.14
Zr 0.5000 0.0000 0.2500  4 Sr 3.11, 4 Si 3.11, 4 Zr 3.14
Zr 0.5000 0.0000 0.7500  4 Sr 3.11, 4 Si 3.11, 4 Zr 3.14
Si 0.0000 0.0000 0.5000  8 Zr 3.11, 4 Sr 3.14
Si 0.5000 0.5000 0.0000  8 Zr 3.11, 4 Sr 3.14

***

## TaSi7 (PBEsol)

Data for TaSi7 after structural relaxation.

Calculated values
The space group is Fm-3m (225). The value obtained for the density of states at the Fermi level is 2.91 states/eV/cell. The value obtained for the uncorrected energy is -51.35 eV/f.u.

Unit cell a=5.4254 b=5.4254 c=5.4254 alpha=60.00 beta=60.00 gamma=60.00
Closest atoms and distances in Å follow each position.
Fractional positions:
Ta 0.0000 0.0000 0.0000  12 Si 2.71
Si 0.0000 0.0000 0.5000  2 Ta 2.71, 10 Si 2.71
Si 0.0000 0.5000 0.0000  2 Ta 2.71, 10 Si 2.71
Si 0.0000 0.5000 0.5000  2 Ta 2.71, 10 Si 2.71
Si 0.5000 0.0000 0.0000  2 Ta 2.71, 10 Si 2.71
Si 0.5000 0.0000 0.5000  2 Ta 2.71, 10 Si 2.71
Si 0.5000 0.5000 0.0000  2 Ta 2.71, 10 Si 2.71
Si 0.5000 0.5000 0.5000  12 Si 2.71

***

## Ta3Si (PBEsol)

Data for Ta3Si after structural relaxation.

Calculated values
The space group is P4_2/n (86). The value obtained for the density of states at the Fermi level is 20.33 states/eV/cell. The value obtained for the uncorrected energy is -45.26 eV/f.u.

Unit cell a=10.1221 b=10.1221 c=5.1574 alpha=90.00 beta=90.00 gamma=90.00
Closest atoms and distances in Å follow each position.
Fractional positions:
Ta 0.0365 0.9376 0.2368  3 Si 2.56-2.81, 2 Ta 2.85-2.86
Ta 0.0624 0.5365 0.7368  3 Si 2.56-2.81, 2 Ta 2.85-2.86
Ta 0.1036 0.2680 0.0248  4 Si 2.56-2.68, 1 Ta 2.86
Ta 0.1500 0.8355 0.7198  2 Si 2.58-2.63, 1 Ta 2.66
Ta 0.1645 0.6500 0.2198  2 Si 2.58-2.63, 1 Ta 2.66
Ta 0.2320 0.1036 0.4752  4 Si 2.56-2.68, 1 Ta 2.86
Ta 0.2680 0.3964 0.4752  4 Si 2.56-2.68, 1 Ta 2.86
Ta 0.3355 0.8500 0.2198  2 Si 2.58-2.63, 1 Ta 2.66
Ta 0.3500 0.6645 0.7198  2 Si 2.58-2.63, 1 Ta 2.66
Ta 0.3964 0.2320 0.0248  4 Si 2.56-2.68, 1 Ta 2.86
Ta 0.4376 0.9635 0.7368  3 Si 2.56-2.81, 2 Ta 2.85-2.86
Ta 0.4635 0.5624 0.2368  3 Si 2.56-2.81, 2 Ta 2.85-2.86
Ta 0.5365 0.4376 0.7632  3 Si 2.56-2.81, 2 Ta 2.85-2.86
Ta 0.5624 0.0365 0.2632  3 Si 2.56-2.81, 2 Ta 2.85-2.86
Ta 0.6036 0.7680 0.9752  4 Si 2.56-2.68, 1 Ta 2.86
Ta 0.6500 0.3355 0.2802  2 Si 2.58-2.63, 1 Ta 2.66
Ta 0.6645 0.1500 0.7802  2 Si 2.58-2.63, 1 Ta 2.66
Ta 0.7320 0.6036 0.5248  4 Si 2.56-2.68, 1 Ta 2.86
Ta 0.7680 0.8964 0.5248  4 Si 2.56-2.68, 1 Ta 2.86
Ta 0.8355 0.3500 0.7802  2 Si 2.58-2.63, 1 Ta 2.66
Ta 0.8500 0.1645 0.2802  2 Si 2.58-2.63, 1 Ta 2.66
Ta 0.8964 0.7320 0.9752  4 Si 2.56-2.68, 1 Ta 2.86
Ta 0.9376 0.4635 0.2632  3 Si 2.56-2.81, 2 Ta 2.85-2.86
Ta 0.9635 0.0624 0.7632  3 Si 2.56-2.81, 2 Ta 2.85-2.86
Si 0.0451 0.2798 0.5306  9 Ta 2.56-2.81
Si 0.2202 0.0451 0.9694  9 Ta 2.56-2.81
Si 0.2798 0.4549 0.9694  9 Ta 2.56-2.81
Si 0.4549 0.2202 0.5306  9 Ta 2.56-2.81
Si 0.5451 0.7798 0.4694  9 Ta 2.56-2.81
Si 0.7202 0.5451 0.0306  9 Ta 2.56-2.81
Si 0.7798 0.9549 0.0306  9 Ta 2.56-2.81
Si 0.9549 0.7202 0.4694  9 Ta 2.56-2.81

***

## Ta2Si (PBEsol)

Data for Ta2Si after structural relaxation.

Calculated values
The space group is I4/mcm (140). The value obtained for the density of states at the Fermi level is 6.31 states/eV/cell. The value obtained for the uncorrected energy is -32.65 eV/f.u.

Unit cell a=6.1319 b=6.1319 c=5.0417 alpha=90.00 beta=90.00 gamma=90.00
Closest atoms and distances in Å follow each position.
Fractional positions:
Ta 0.1630 0.3370 0.0000  4 Si 2.62, 1 Ta 2.83
Ta 0.1630 0.6630 0.5000  4 Si 2.62, 1 Ta 2.83
Ta 0.3370 0.1630 0.5000  4 Si 2.62, 1 Ta 2.83
Ta 0.3370 0.8370 0.0000  4 Si 2.62, 1 Ta 2.83
Ta 0.6630 0.1630 0.0000  4 Si 2.62, 1 Ta 2.83
Ta 0.6630 0.8370 0.5000  4 Si 2.62, 1 Ta 2.83
Ta 0.8370 0.3370 0.5000  4 Si 2.62, 1 Ta 2.83
Ta 0.8370 0.6630 0.0000  4 Si 2.62, 1 Ta 2.83
Si 0.0000 0.0000 0.2500  2 Si 2.52, 8 Ta 2.62
Si 0.0000 0.0000 0.7500  2 Si 2.52, 8 Ta 2.62
Si 0.5000 0.5000 0.2500  2 Si 2.52, 8 Ta 2.62
Si 0.5000 0.5000 0.7500  2 Si 2.52, 8 Ta 2.62

***

## Ta3Si (PBEsol)

Data for Ta3Si after structural relaxation.

Calculated values
The space group is Pm-3m (221). The value obtained for the density of states at the Fermi level is 4.70 states/eV/cell. The value obtained for the uncorrected energy is -44.15 eV/f.u.

Unit cell a=4.0358 b=4.0358 c=4.0358 alpha=90.00 beta=90.00 gamma=90.00
Closest atoms and distances in Å follow each position.
Fractional positions:
Ta 0.0000 0.0000 0.5000  4 Si 2.85, 8 Ta 2.85
Ta 0.0000 0.5000 0.0000  4 Si 2.85, 8 Ta 2.85
Ta 0.5000 0.0000 0.0000  4 Si 2.85, 8 Ta 2.85
Si 0.5000 0.5000 0.5000  12 Ta 2.85

***

## TaSi3 (PBEsol)

Data for TaSi3 after structural relaxation.

Calculated values
The space group is Cmmm (65). The value obtained for the density of states at the Fermi level is 2.92 states/eV/cell. The value obtained for the uncorrected energy is -29.59 eV/f.u.

Unit cell a=3.5042 b=4.4372 c=7.6248 alpha=90.00 beta=90.00 gamma=90.00
Closest atoms and distances in Å follow each position.
Fractional positions:
Ta 0.0000 0.0000 0.0000  4 Si 2.61, 4 Ta 2.83
Ta 0.5000 0.5000 0.0000  4 Si 2.61, 4 Ta 2.83
Si 0.0000 0.0000 0.5000  8 Si 2.57-2.83
Si 0.0000 0.5000 0.2542  6 Si 2.57-2.83, 2 Ta 2.61
Si 0.0000 0.5000 0.7458  6 Si 2.57-2.83, 2 Ta 2.61
Si 0.5000 0.0000 0.2542  6 Si 2.57-2.83, 2 Ta 2.61
Si 0.5000 0.0000 0.7458  6 Si 2.57-2.83, 2 Ta 2.61
Si 0.5000 0.5000 0.5000  8 Si 2.57-2.83

***

## Ta5Si3 (PBEsol)

Data for Ta5Si3 after structural relaxation.

Calculated values
The space group is I4/mcm (140). The value obtained for the density of states at the Fermi level is 8.61 states/eV/cell. The value obtained for the uncorrected energy is -85.00 eV/f.u.

Unit cell a=7.4588 b=7.4588 c=7.4588 alpha=96.62 beta=96.62 gamma=140.29
Closest atoms and distances in Å follow each position.
Fractional positions:
Ta 0.0753 0.7797 0.8551  6 Si 2.63-2.92, 3 Ta 2.87-2.94
Ta 0.2203 0.0753 0.2956  6 Si 2.63-2.92, 3 Ta 2.87-2.94
Ta 0.2500 0.7500 0.5000  2 Ta 2.53, 4 Si 2.64
Ta 0.2797 0.5753 0.8551  6 Si 2.63-2.92, 3 Ta 2.87-2.94
Ta 0.4247 0.2797 0.7044  6 Si 2.63-2.92, 3 Ta 2.87-2.94
Ta 0.5753 0.7203 0.2956  6 Si 2.63-2.92, 3 Ta 2.87-2.94
Ta 0.7203 0.4247 0.1449  6 Si 2.63-2.92, 3 Ta 2.87-2.94
Ta 0.7500 0.2500 0.5000  2 Ta 2.53, 4 Si 2.64
Ta 0.7797 0.9247 0.7044  6 Si 2.63-2.92, 3 Ta 2.87-2.94
Ta 0.9247 0.2203 0.1449  6 Si 2.63-2.92, 3 Ta 2.87-2.94
Si 0.1654 0.3346 0.5000  10 Ta 2.63-2.92
Si 0.2500 0.2500 0.0000  2 Si 2.53, 8 Ta 2.63
Si 0.3346 0.8346 0.1691  10 Ta 2.63-2.92
Si 0.6654 0.1654 0.8309  10 Ta 2.63-2.92
Si 0.7500 0.7500 0.0000  2 Si 2.53, 8 Ta 2.63
Si 0.8346 0.6654 0.5000  10 Ta 2.63-2.92